The following is a GGA-PBE calculation of crystalline ZrMo2Os at its relaxed geometry, from Alexandria.

The structure in POSCAR format:
```
ZrMo2Os
1.0
9.974 0.008 0.005
9.573 2.802 0.005
9.573 1.376 2.441
Os Zr Mo
1 1 2
Cartesian
7.280 1.047 0.613
21.840 3.140 1.838
14.795 2.127 1.245
28.885 4.153 2.431
```

Calculated values
The energy is -40.26 eV/cell. For the density of states at the Fermi level, the calculation gives 1.00 states/eV/atom.